Record 1
{
  "formula": "NaMgAl2Zn2",
  "functional": "PBE",
  "state": "optimized geometry",
  "n_ef_per_ev_cell": 1.7,
  "formation_energy_ev_per_atom": 0.032,
  "lattice": [[4.516, 0.000, 0.000], [-2.258, 3.911, 0.000], [0.000, 0.000, 6.722]],
  "species": ["Al", "Al", "Na", "Mg", "Zn", "Zn"],
  "fractional_positions": [[0.667, 0.333, 0.281], [0.333, 0.667, 0.719], [0.000, 0.000, 0.000], [0.000, 0.000, 0.500], [0.333, 0.667, 0.283], [0.667, 0.333, 0.717]]
}

---

Record 2
{
  "formula": "NaMgAlZn",
  "functional": "PBE",
  "state": "optimized geometry",
  "n_ef_per_ev_cell": 0.9,
  "formation_energy_ev_per_atom": 0.090,
  "lattice": [[4.799, 0.000, 0.000], [2.399, 4.156, 0.000], [2.399, 1.385, 3.918]],
  "species": ["Mg", "Na", "Zn", "Al"],
  "fractional_positions": [[0.500, 0.500, 0.500], [0.250, 0.250, 0.250], [0.000, 0.000, 0.000], [0.750, 0.750, 0.750]]
}

---

Record 3
{
  "formula": "Mg2NbAl2",
  "functional": "PBE",
  "state": "optimized geometry",
  "relative_energy_mev_per_atom": 78.8,
  "n_ef_per_ev_cell": 3.9,
  "formation_energy_ev_per_atom": 0.208,
  "lattice": [[7.738, 0.000, 0.000], [0.000, 7.738, 0.000], [0.000, 0.000, 3.041]],
  "species": ["Al", "Al", "Al", "Al", "Nb", "Nb", "Mg", "Mg", "Mg", "Mg"],
  "fractional_positions": [[0.327, 0.173, 0.500], [0.173, 0.673, 0.500], [0.673, 0.827, 0.500], [0.827, 0.327, 0.500], [0.000, 0.000, 0.000], [0.500, 0.500, 0.000], [0.628, 0.128, 0.000], [0.128, 0.372, 0.000], [0.872, 0.628, 0.000], [0.372, 0.872, 0.000]]
}

---

Record 4
{
  "formula": "Mg2NbAl2",
  "functional": "PBE",
  "state": "optimized geometry",
  "relative_energy_mev_per_atom": 394.8,
  "n_ef_per_ev_cell": 4.0,
  "formation_energy_ev_per_atom": 0.523,
  "lattice": [[-2.221, -1.437, 2.517], [-1.125, -2.495, -2.417], [3.955, -6.696, 2.315]],
  "species": ["Nb", "Al", "Al", "Mg", "Mg"],
  "fractional_positions": [[0.000, 0.000, 0.000], [0.250, 0.750, 0.500], [0.750, 0.250, 0.500], [0.599, 0.599, 0.801], [0.401, 0.401, 0.199]]
}